Record 1
Below is a geometry-optimized KSO3 structure, with properties calculated at the GGA-PBE level.

Final energy in eV per atom: -5.645
Fermi-level density of states in states/eV/cell: 0.000

a = 5.7973 Å, b = 5.7973 Å, c = 5.8650 Å
α = 90.00°, β = 90.00°, γ = 120.00°
With the nearest neighbours (Å) after each atom.
Space group P-3m1 (No. 164)
One atom of each set of equivalent atoms:
1 K 0.3333 0.6667 0.3347  9 O 2.95-3.11
2 S 0.0000 0.0000 0.1867  3 O 1.47
3 O 0.1421 0.2841 0.7510  1 S 1.47

Record 2
Below is a geometry-optimized Pm2Nd4Er structure, with properties calculated at the GGA-PBE level.

ΔH_f (0 K) in meV/atom: 428
Final energy in eV per atom: -4.306
ΔE to the lowest computed polymorph in meV per atom: 388
Fermi-level density of states in states/eV/cell: 22.097

a = 6.1729 Å, b = 13.1535 Å, c = 6.0325 Å
α = 90.00°, β = 90.00°, γ = 90.00°
With the nearest neighbours (Å) after each atom.
Space group Cmmm (No. 65)
One atom of each set of equivalent atoms:
1 Pm 0.0000 0.1092 0.0000  1 Pm 2.87, 4 Nd 3.11-3.20
2 Nd 0.0000 0.1909 0.5000  2 Pm 3.20, 2 Nd 3.46
3 Nd 0.0000 0.3630 0.0000  3 Pm 3.11-3.34
4 Er 0.0000 0.5000 0.5000  4 Nd 3.51

Record 3
Below is a geometry-optimized TlTc2Te structure, with properties calculated at the GGA-PBE level.

Final energy in eV per atom: -5.954
ΔE to the lowest computed polymorph in meV per atom: 284
Fermi-level density of states in states/eV/cell: 17.984

a = 6.5992 Å, b = 6.5992 Å, c = 6.5992 Å
α = 90.00°, β = 90.00°, γ = 90.00°
With the nearest neighbours (Å) after each atom.
Space group Fm-3m (No. 225)
One atom of each set of equivalent atoms:
1 Tl 0.0000 0.0000 0.0000  8 Tc 2.86
2 Tc 0.2500 0.2500 0.2500  4 Tl 2.86, 4 Te 2.86
3 Te 0.0000 0.0000 0.5000  8 Tc 2.86

Record 4
Below is a geometry-optimized CeYEr2 structure, with properties calculated at the GGA-PBE level.

ΔH_f (0 K) in meV/atom: 63
Final energy in eV per atom: -5.318
ΔE to the lowest computed polymorph in meV per atom: 36
Fermi-level density of states in states/eV/cell: 7.939

a = 3.5206 Å, b = 3.5206 Å, c = 9.9300 Å
α = 90.00°, β = 90.00°, γ = 90.00°
With the nearest neighbours (Å) after each atom.
Space group P4/mmm (No. 123)
One atom of each set of equivalent atoms:
1 Ce 0.0000 0.0000 0.0000  8 Er 3.47, 4 Ce 3.52
2 Y 0.0000 0.0000 0.5000  4 Y 3.52, 8 Er 3.56
3 Er 0.5000 0.5000 0.2435  4 Ce 3.47, 4 Er 3.52, 4 Y 3.56

Record 5
Below is a geometry-optimized Th2CoCu3Ni12 structure, with properties calculated at the GGA-PBE level.

ΔH_f (0 K) in meV/atom: 198
Final energy in eV per atom: -5.558
Fermi-level density of states in states/eV/cell: 66.315

a = 6.0815 Å, b = 6.0815 Å, c = 24.5767 Å
α = 90.00°, β = 90.00°, γ = 120.00°
With the nearest neighbours (Å) after each atom.
Space group R-3m (No. 166, hexagonal axes)
One atom of each set of equivalent atoms:
1 Th 0.0000 0.0000 0.1520  6 Ni 2.83-2.84
2 Co 0.0000 0.0000 0.5000  6 Ni 2.27
3 Cu 0.0000 0.5000 0.0000  6 Ni 2.35-2.43
4 Ni 0.0431 0.5216 0.0986  1 Co 2.27, 2 Ni 2.38, 1 Cu 2.43
5 Ni 0.0748 0.5374 0.6157  2 Cu 2.35, 4 Ni 2.36-2.38

Record 6
Below is a geometry-optimized Tl2BTe structure, with properties calculated at the GGA-PBE level.

Final energy in eV per atom: -3.099
ΔE to the lowest computed polymorph in meV per atom: 0
Fermi-level density of states in states/eV/cell: 16.152

a = 6.2831 Å, b = 6.2831 Å, c = 11.5598 Å
α = 90.00°, β = 90.00°, γ = 90.00°
With the nearest neighbours (Å) after each atom.
Space group I-42d (No. 122)
One atom of each set of equivalent atoms:
1 Tl 0.1482 0.2500 0.1250  2 B 2.33
2 B 0.0000 0.0000 0.0000  4 Tl 2.33
3 Te 0.0000 0.0000 0.5000  4 Tl 3.07